Entry from Alexandria: a crystal of Ba2AuBr relaxed with PBEsol (meta-GGA SCAN).

## Properties
- E_tot: -43.111 eV per atom
- Total moment: 0.00 Bohr magnetons per cell
- Symmetry: Immm, No. 71

Cell and atoms, written as POSCAR:
```
Ba2AuBr
1.0
5.256 0.000 0.000
2.628 5.053 -0.007
2.628 1.266 4.891
Au Ba Br
1 2 1
direct
0.000 0.500 0.500
0.254 0.746 0.746
0.746 0.254 0.254
0.500 0.000 0.000
```